[1]
Computed, not measured: crystalline Ac2PmC2I2 at its relaxed geometry at the PBE-GGA level of DFT.

abc: 4.768 4.768 9.600
angles: 104.38 104.38 90.00
Element x y z (fractional)
Pm 0.000 0.000 0.000
Ac 0.593 0.593 0.186
Ac 0.407 0.407 0.814
I 0.183 0.183 0.366
I 0.817 0.817 0.634
C 0.000 0.500 0.000
C 0.500 0.000 0.000

Computed properties:
- VASP energy: -37.9 eV for the cell shown
- Energy relative to the elements, uncorrected: -0.48 eV/atom
- Space-group type: I4/mmm (139)

=====

[2]
Computed, not measured: crystalline TbNd2SnC at its relaxed geometry at the PBE-GGA level of DFT.

abc: 4.938 5.108 5.108
angles: 90.00 90.00 90.00
Element x y z (fractional)
Sn 0.500 0.500 0.500
Nd 0.000 0.000 0.500
Nd 0.000 0.500 0.000
Tb 0.500 0.000 0.000
C 0.000 0.000 0.000

Computed properties:
- VASP energy: -29.9 eV for the cell shown
- ΔH_f (0 K): -511 meV/atom
- Space-group type: P4/mmm (123)

=====

[3]
Computed, not measured: crystalline Li8In2Ga at its relaxed geometry at the PBE-GGA level of DFT.

abc: 4.591 6.979 6.979
angles: 106.09 90.04 90.04
Element x y z (fractional)
In 0.000 0.627 0.373
In 0.000 0.373 0.627
Li 0.000 0.715 0.964
Li 0.500 0.763 0.237
Li 0.000 0.036 0.285
Li 0.500 0.327 0.327
Li 0.000 0.285 0.036
Li 0.500 0.237 0.763
Li 0.500 0.673 0.673
Li 0.000 0.964 0.715
Ga 0.500 0.000 0.000

Computed properties:
- VASP energy: -25.6 eV for the cell shown
- ΔH_f (0 K): -160 meV/atom
- Space-group type: Cmmm (65)

=====

[4]
Computed, not measured: crystalline BaAs2F12 at its relaxed geometry at the PBE-GGA level of DFT.

abc: 10.231 10.231 10.231
angles: 90.00 90.00 90.00
Element x y z (fractional)
As 0.749 0.749 0.251
As 0.251 0.251 0.749
As 0.749 0.251 0.749
As 0.749 0.251 0.251
As 0.251 0.749 0.251
As 0.251 0.749 0.749
As 0.749 0.749 0.749
As 0.251 0.251 0.251
F 0.870 0.700 0.870
F 0.361 0.184 0.361
F 0.300 0.130 0.130
F 0.639 0.639 0.184
F 0.639 0.361 0.184
F 0.700 0.130 0.130
F 0.361 0.184 0.639
F 0.639 0.361 0.816
F 0.130 0.130 0.300
F 0.184 0.361 0.361
F 0.639 0.639 0.816
F 0.361 0.361 0.184
F 0.130 0.870 0.300
F 0.184 0.639 0.361
F 0.361 0.639 0.816
F 0.361 0.816 0.361
F 0.639 0.816 0.639
F 0.700 0.130 0.870
F 0.130 0.300 0.870
F 0.870 0.130 0.700
F 0.700 0.870 0.870
F 0.300 0.870 0.130
F 0.300 0.870 0.870
F 0.130 0.300 0.130
F 0.870 0.870 0.700
F 0.130 0.700 0.130
F 0.184 0.639 0.639
F 0.130 0.130 0.700
F 0.816 0.639 0.361
F 0.184 0.361 0.639
F 0.639 0.184 0.639
F 0.639 0.184 0.361
F 0.130 0.700 0.870
F 0.361 0.639 0.184
F 0.361 0.816 0.639
F 0.361 0.361 0.816
F 0.870 0.870 0.300
F 0.870 0.300 0.870
F 0.816 0.639 0.639
F 0.870 0.130 0.300
F 0.639 0.816 0.361
F 0.870 0.300 0.130
F 0.870 0.700 0.130
F 0.816 0.361 0.361
F 0.130 0.870 0.700
F 0.300 0.130 0.870
F 0.816 0.361 0.639
F 0.700 0.870 0.130
Ba 0.500 0.000 0.000
Ba 0.000 0.500 0.000
Ba 0.000 0.000 0.000
Ba 0.000 0.000 0.500

Computed properties:
- VASP energy: -282.5 eV for the cell shown
- Energy relative to the elements, uncorrected: -2.46 eV/atom
- Space-group type: Pm-3m (221)

=====

[5]
Computed, not measured: crystalline CsBe2InNi at its relaxed geometry at the PBE-GGA level of DFT.

abc: 4.685 4.956 4.685
angles: 90.00 90.00 90.00
Element x y z (fractional)
Be 0.500 0.000 0.000
Be 0.000 0.000 0.500
In 0.000 0.500 0.000
Cs 0.500 0.500 0.500
Ni 0.000 0.000 0.000

Computed properties:
- VASP energy: -14.1 eV for the cell shown
- ΔH_f (0 K): 555 meV/atom
- Space-group type: P4/mmm (123)

=====

[6]
Computed, not measured: crystalline SiHg2Au2 at its relaxed geometry at the PBE-GGA level of DFT.

abc: 4.141 5.429 10.196
angles: 87.65 89.98 89.96
Element x y z (fractional)
Au 0.750 0.324 0.492
Au 0.750 0.999 0.800
Au 0.250 0.001 0.200
Au 0.250 0.676 0.508
Hg 0.751 0.621 0.239
Hg 0.251 0.743 0.964
Hg 0.249 0.379 0.761
Hg 0.749 0.257 0.036
Si 0.750 0.880 0.578
Si 0.250 0.120 0.422

Computed properties:
- VASP energy: -24.7 eV for the cell shown
- Energy relative to the elements, uncorrected: 0.05 eV/atom
- Space-group type: P-1 (2)

=====

[7]
Computed, not measured: crystalline KLiSc at its relaxed geometry at the PBE-GGA level of DFT.

abc: 9.449 9.216 3.389
angles: 83.44 75.69 20.87
Each line ends with the local moment (μB).
Element x y z (fractional)
Sc 0.685 0.685 0.315  0.23
K 0.998 0.998 0.002  0.01
Li 0.317 0.317 0.683  0.00

Computed properties:
- VASP energy: -8.1 eV for the cell shown
- ΔH_f (0 K): 431 meV/atom
- Space-group type: Fmm2 (42)